1.
Material: KTe2Mo
Method: DFT, PBE
State: optimized geometry

Lattice parameters (Å, degrees): 3.441 3.441 8.518 90.00 90.00 90.00
Sites, in units of the cell vectors:
K1 0.000 0.000 0.000
Te1 0.500 0.500 0.310
Te2 0.500 0.500 0.690
Mo1 0.000 0.000 0.500

Properties
- uncorrected energy (eV/atom) = -4.732
- DOS at the Fermi energy (states/eV/cell) = 2.1
- uncorrected formation energy (eV per formula unit) = -0.72
- SG = P4/mmm

---

2.
Material: KTe2Mo
Method: DFT, PBE
State: optimized geometry

Lattice parameters (Å, degrees): 3.973 3.973 8.621 90.00 90.00 90.00
Sites, in units of the cell vectors:
K1 0.000 0.000 0.000
Te1 0.000 0.000 0.404
Te2 0.500 0.500 0.775
Mo1 0.500 0.500 0.475

Properties
- uncorrected energy (eV/atom) = -4.491
- DOS at the Fermi energy (states/eV/cell) = 2.6
- uncorrected formation energy (eV per formula unit) = 0.25
- SG = P4mm

---

3.
Material: KTeMo2
Method: DFT, PBE
State: optimized geometry

Lattice parameters (Å, degrees): 6.474 6.474 2.758 100.37 100.37 125.36
Sites, in units of the cell vectors:
K1 0.000 0.000 0.000
Te1 0.500 0.500 0.000
Mo1 0.000 0.500 0.000
Mo2 0.500 0.000 0.000

Properties
- uncorrected energy (eV/atom) = -5.302
- DOS at the Fermi energy (states/eV/cell) = 5.2
- uncorrected formation energy (eV per formula unit) = 4.69
- SG = C2/m